1.
! BaSrPdO3, relaxed, DFT GGA-PBE; values from VASP
! * symmetry: No. 44
! * total DFT energy (no corrections): -35.47 eV/f.u.
&SYSTEM
  ibrav = 0, nat = 12, ntyp = 4
/
ATOMIC_SPECIES
Ba 137.33 Ba.upf
Sr 87.62 Sr.upf
Pd 106.42 Pd.upf
O 16.00 O.upf
CELL_PARAMETERS angstrom
3.675 0.000 0.000
0.000 4.064 0.000
0.000 0.000 13.106
ATOMIC_POSITIONS angstrom
Ba 0.000 0.000 0.000
Ba 1.838 2.032 6.553
Sr 0.000 0.000 3.847
Sr 1.838 2.032 10.400
Pd 0.000 0.000 8.455
Pd 1.838 2.032 1.902
O 0.000 0.000 6.357
O 0.000 0.000 10.514
O 0.000 2.032 8.677
O 1.838 0.000 2.124
O 1.838 2.032 3.960
O 1.838 2.032 12.910


2.
! BaTePdO, relaxed, DFT GGA-PBE; values from VASP
! * distance to the lowest polymorph of the same formula: 3.94 kcal/mol of atoms
! * symmetry: No. 129
! * total DFT energy (no corrections): -19.61 eV/f.u.
&SYSTEM
  ibrav = 0, nat = 8, ntyp = 4
/
ATOMIC_SPECIES
Ba 137.33 Ba.upf
Te 127.60 Te.upf
Pd 106.42 Pd.upf
O 16.00 O.upf
CELL_PARAMETERS angstrom
4.059 0.000 0.000
0.000 4.059 0.000
0.000 0.000 12.829
ATOMIC_POSITIONS angstrom
Ba 1.015 1.015 1.402
Ba 3.045 3.045 11.427
Te 1.015 1.015 5.071
Te 3.045 3.045 7.758
Pd 1.015 1.015 7.742
Pd 3.045 3.045 5.086
O 1.015 3.045 0.000
O 3.045 1.015 0.000


3.
! BaTePdO, relaxed, DFT GGA-PBE; values from VASP
! * distance to the lowest polymorph of the same formula: 0.00 kcal/mol of atoms
! * symmetry: No. 129
! * total DFT energy (no corrections): -20.29 eV/f.u.
&SYSTEM
  ibrav = 0, nat = 8, ntyp = 4
/
ATOMIC_SPECIES
Ba 137.33 Ba.upf
Te 127.60 Te.upf
Pd 106.42 Pd.upf
O 16.00 O.upf
CELL_PARAMETERS angstrom
4.162 0.000 0.000
0.000 4.162 0.000
0.000 0.000 10.636
ATOMIC_POSITIONS angstrom
Ba 1.040 1.040 1.430
Ba 3.121 3.121 9.206
Te 1.040 1.040 6.994
Te 3.121 3.121 3.642
Pd 1.040 3.121 5.318
Pd 3.121 1.040 5.318
O 1.040 1.040 9.552
O 3.121 3.121 1.084


4.
! BaTePdO, relaxed, DFT GGA-PBE; values from VASP
! * distance to the lowest polymorph of the same formula: 24.44 kcal/mol of atoms
! * symmetry: No. 129
! * total DFT energy (no corrections): -16.05 eV/f.u.
&SYSTEM
  ibrav = 0, nat = 8, ntyp = 4
/
ATOMIC_SPECIES
Ba 137.33 Ba.upf
Te 127.60 Te.upf
Pd 106.42 Pd.upf
O 16.00 O.upf
CELL_PARAMETERS angstrom
4.888 0.000 0.000
0.000 4.888 0.000
0.000 0.000 8.662
ATOMIC_POSITIONS angstrom
Ba 1.222 3.666 0.000
Ba 3.666 1.222 0.000
Te 1.222 1.222 2.559
Te 3.666 3.666 6.104
Pd 1.222 1.222 6.539
Pd 3.666 3.666 2.123
O 1.222 1.222 4.438
O 3.666 3.666 4.225